Record 1
First-principles (PBEsol) data for CdRe3Ru after structural relaxation, as listed in Alexandria via LeMat-Bulk. Values from VASP.

The structure in Quantum ESPRESSO input format:
```
&SYSTEM
  ibrav = 0, nat = 5, ntyp = 3
/
ATOMIC_SPECIES
Re 186.21 Re.upf
Ru 101.07 Ru.upf
Cd 112.41 Cd.upf
CELL_PARAMETERS angstrom
-3.9102 -2.3012 0.9622
2.2415 -4.0268 -0.5214
1.0941 0.0255 4.5071
ATOMIC_POSITIONS angstrom
Re 1.1207 -2.0134 -0.2607
Re 0.5470 0.0127 2.2535
Re -1.9551 -1.1506 0.4811
Ru -0.2873 -3.1513 2.4739
Cd 0.0000 0.0000 0.0000
```

Computed properties:
D(E_F) = 6.1 states/eV/f.u.
E_form = 3565 meV per atom
total magnetic moment = 0.000 μB/atom

Record 2
First-principles (PBEsol) data for Cd2ReRu after structural relaxation, as listed in Alexandria via LeMat-Bulk. Values from VASP.

The structure in Quantum ESPRESSO input format:
```
&SYSTEM
  ibrav = 0, nat = 4, ntyp = 3
/
ATOMIC_SPECIES
Cd 112.41 Cd.upf
Re 186.21 Re.upf
Ru 101.07 Ru.upf
CELL_PARAMETERS angstrom
2.8412 0.0000 0.0000
0.0000 4.8238 0.0000
-1.4206 -2.4119 4.9164
ATOMIC_POSITIONS angstrom
Cd 1.4206 2.4119 4.7602
Cd 1.4206 0.0000 2.5770
Re 1.4206 2.4119 0.2327
Ru 0.0000 2.4119 2.2629
```

Computed properties:
D(E_F) = 2.5 states/eV/f.u.
offset from the most stable computed form = 0 meV per atom
E_form = 548 meV per atom
total magnetic moment = 0.000 μB/atom

Record 3
First-principles (PBEsol) data for CdRe2Ru after structural relaxation, as listed in Alexandria via LeMat-Bulk. Values from VASP.

The structure in Quantum ESPRESSO input format:
```
&SYSTEM
  ibrav = 0, nat = 4, ntyp = 3
/
ATOMIC_SPECIES
Cd 112.41 Cd.upf
Re 186.21 Re.upf
Ru 101.07 Ru.upf
CELL_PARAMETERS angstrom
-3.5897 0.1337 1.1210
1.0187 -1.2267 3.4085
1.8360 4.5688 -0.9817
ATOMIC_POSITIONS angstrom
Cd 0.0000 0.0000 0.0000
Re -1.5196 2.0780 1.2020
Re 0.7846 1.3978 2.3458
Ru -1.2855 -0.5465 2.2647
```

Computed properties:
D(E_F) = 3.4 states/eV/f.u.
E_form = 552 meV per atom
total magnetic moment = 0.001 μB/atom

Record 4
First-principles (PBEsol) data for CdRe2RuSe after structural relaxation, as listed in Alexandria via LeMat-Bulk. Values from VASP.

The structure in Quantum ESPRESSO input format:
```
&SYSTEM
  ibrav = 0, nat = 5, ntyp = 4
/
ATOMIC_SPECIES
Re 186.21 Re.upf
Ru 101.07 Ru.upf
Se 78.96 Se.upf
Cd 112.41 Cd.upf
CELL_PARAMETERS angstrom
4.6126 0.0000 0.0000
0.0000 4.6126 0.0000
0.0000 0.0000 4.9730
ATOMIC_POSITIONS angstrom
Re 0.0000 2.3063 0.0000
Re 2.3063 0.0000 0.0000
Ru 0.0000 0.0000 0.0000
Se 2.3063 2.3063 2.4865
Cd 0.0000 0.0000 2.4865
```

Computed properties:
D(E_F) = 6.4 states/eV/f.u.
total magnetic moment = 0.000 μB/atom
raw formation energy = 1.86 eV per atom

Record 5
First-principles (PBEsol) data for CdRe2S after structural relaxation, as listed in Alexandria via LeMat-Bulk. Values from VASP.

The structure in Quantum ESPRESSO input format:
```
&SYSTEM
  ibrav = 0, nat = 4, ntyp = 3
/
ATOMIC_SPECIES
Re 186.21 Re.upf
S 32.06 S.upf
Cd 112.41 Cd.upf
CELL_PARAMETERS angstrom
-0.8642 2.7236 3.2984
-3.8176 2.1093 0.1449
-2.9784 -1.0824 3.0003
ATOMIC_POSITIONS angstrom
Re -1.9150 0.9376 1.6109
Re -5.7451 2.8129 4.8327
S 0.0000 0.0000 0.0000
Cd -3.8301 1.8753 3.2218
```

Computed properties:
D(E_F) = 2.4 states/eV/f.u.
total magnetic moment = 0.000 μB/atom
raw formation energy = 0.99 eV per atom

Record 6
First-principles (PBEsol) data for CdRe3S after structural relaxation, as listed in Alexandria via LeMat-Bulk. Values from VASP.

The structure in Quantum ESPRESSO input format:
```
&SYSTEM
  ibrav = 0, nat = 5, ntyp = 3
/
ATOMIC_SPECIES
Re 186.21 Re.upf
S 32.06 S.upf
Cd 112.41 Cd.upf
CELL_PARAMETERS angstrom
4.7771 0.0000 0.0000
0.0000 4.7771 0.0000
0.0000 0.0000 4.7771
ATOMIC_POSITIONS angstrom
Re 0.0000 2.3886 0.0000
Re 0.0000 0.0000 2.3886
Re 2.3886 0.0000 0.0000
S 2.3886 2.3886 2.3886
Cd 0.0000 0.0000 0.0000
```

Computed properties:
D(E_F) = 9.5 states/eV/f.u.
total magnetic moment = 0.446 μB/atom
raw formation energy = 3.67 eV per atom

Record 7
First-principles (PBEsol) data for Tl2CdReS after structural relaxation, as listed in Alexandria via LeMat-Bulk. Values from VASP.

The structure in Quantum ESPRESSO input format:
```
&SYSTEM
  ibrav = 0, nat = 5, ntyp = 4
/
ATOMIC_SPECIES
Re 186.21 Re.upf
Tl 204.38 Tl.upf
S 32.06 S.upf
Cd 112.41 Cd.upf
CELL_PARAMETERS angstrom
-0.8865 1.8355 -4.3250
3.8423 -3.3298 -2.2007
-3.8569 -3.8836 -0.8576
ATOMIC_POSITIONS angstrom
Re -0.4506 -2.6890 -3.6917
Tl -1.9284 -1.9418 -0.4288
Tl 1.9211 -1.6649 -1.1004
S -0.4433 0.9178 -2.1625
Cd 0.0000 0.0000 0.0000
```

Computed properties:
D(E_F) = 2.9 states/eV/f.u.
total magnetic moment = 0.897 μB/atom
raw formation energy = 1.56 eV per atom

Record 8
First-principles (PBEsol) data for CdRe2Sb after structural relaxation, as listed in Alexandria via LeMat-Bulk. Values from VASP.

The structure in Quantum ESPRESSO input format:
```
&SYSTEM
  ibrav = 0, nat = 4, ntyp = 3
/
ATOMIC_SPECIES
Re 186.21 Re.upf
Cd 112.41 Cd.upf
Sb 121.76 Sb.upf
CELL_PARAMETERS angstrom
-3.2831 -1.7240 2.7489
1.1541 -2.0224 3.9857
-0.9776 2.0718 4.0074
ATOMIC_POSITIONS angstrom
Re 0.0000 0.0000 0.0000
Re -2.3299 -1.2559 8.0565
Cd -1.5533 -0.8373 5.3710
Sb -0.7766 -0.4186 2.6855
```

Computed properties:
D(E_F) = 4.6 states/eV/f.u.
offset from the most stable computed form = 616 meV per atom
total magnetic moment = 0.000 μB/atom
raw formation energy = 0.87 eV per atom